[1]
First-principles (PBE) data for a relaxed structure of Ni6GeIr, as listed in the Alexandria database.

Results
energy relative to the elements	-0.103	eV/atom
D(E_F)	13.3	states/eV/f.u.

a = 6.233 Å, b = 6.233 Å, c = 10.181 Å
α = 90.00°, β = 90.00°, γ = 109.47°
Fractional positions:
Ni  0.000  0.000  0.500
Ni  0.123  0.372  0.127
Ni  0.500  0.500  0.000
Ni  0.125  0.375  0.623
Ni  0.000  0.000  0.000
Ni  0.751  0.249  0.252
Ni  0.875  0.625  0.377
Ni  0.875  0.625  0.623
Ni  0.877  0.628  0.127
Ni  0.375  0.125  0.623
Ni  0.372  0.123  0.873
Ni  0.877  0.628  0.873
Ni  0.625  0.875  0.377
Ni  0.123  0.372  0.873
Ni  0.249  0.751  0.252
Ni  0.249  0.751  0.748
Ni  0.372  0.123  0.127
Ni  0.628  0.877  0.873
Ni  0.375  0.125  0.377
Ni  0.628  0.877  0.127
Ni  0.500  0.500  0.500
Ni  0.125  0.375  0.377
Ni  0.751  0.249  0.748
Ni  0.625  0.875  0.623
Ir  0.750  0.250  0.000
Ir  0.500  0.500  0.752
Ir  0.500  0.500  0.248
Ir  0.250  0.750  0.000
Ge  0.000  0.000  0.749
Ge  0.251  0.749  0.500
Ge  0.749  0.251  0.500
Ge  0.000  0.000  0.251


[2]
First-principles (PBE) data for a relaxed structure of NiGe7Ir4, as listed in the Alexandria database.

Results
energy relative to the elements	-0.141	eV/atom
D(E_F)	5.0	states/eV/f.u.

a = 2.994 Å, b = 6.606 Å, c = 10.606 Å
α = 101.81°, β = 90.00°, γ = 103.10°
Fractional positions:
Ge  0.337  0.674  0.974
Ge  0.503  0.005  0.514
Ge  0.242  0.485  0.616
Ge  0.770  0.539  0.390
Ge  0.657  0.313  0.025
Ge  0.050  0.100  0.777
Ge  0.949  0.898  0.213
Ir  0.996  0.991  0.993
Ir  0.719  0.439  0.804
Ir  0.106  0.213  0.398
Ir  0.278  0.557  0.195
Ni  0.893  0.787  0.601